Below is crystalline Pr2Ga9Ru3 at its relaxed geometry, with properties calculated at the PBE-GGA level.

Properties
Mass density (Mg/m³): 8.14
Formation energy from the elements (eV/f.u.): -7.46

Structure (CIF):
```
data_Pr2Ga9Ru3
_symmetry_space_group_name_H-M 'C m c m'
_symmetry_Int_Tables_number 63
_symmetry_space_group_name_Hall '-C 2c 2'
_cell_length_a 13.0422
_cell_length_b 7.6588
_cell_length_c 9.9042
_cell_angle_alpha 90.00
_cell_angle_beta 90.00
_cell_angle_gamma 90.00
loop_
_atom_site_label
_atom_site_fract_x
_atom_site_fract_y
_atom_site_fract_z
Pr1 0.1626 0.1646 0.2500
Ga1 0.0000 0.1336 0.7500
Ga2 0.0000 0.3394 0.0563
Ga3 0.1052 0.4435 0.7500
Ga4 0.1633 0.1736 0.5728
Ru1 0.0000 0.0000 0.0000
Ru2 0.1746 0.5000 0.0000
```